Record 1
Here is a relaxed structure of Sm4CBr2 from Alexandria via LeMat-Bulk. Energies are from PBE. Values from VASP.

```
&SYSTEM
  ibrav = 0, nat = 7, ntyp = 3
/
ATOMIC_SPECIES
Sm 150.36 Sm.upf
C 12.01 C.upf
Br 79.90 Br.upf
CELL_PARAMETERS angstrom
-2.3470 2.3470 10.0455
2.3470 -2.3470 10.0455
2.3470 2.3470 -10.0455
ATOMIC_POSITIONS crystal
Sm 0.0000 0.5000 0.5000
Sm 0.1550 0.1550 0.0000
Sm 0.5000 0.0000 0.5000
Sm 0.8450 0.8450 0.0000
C 0.5000 0.5000 0.0000
Br 0.3058 0.3058 0.0000
Br 0.6942 0.6942 0.0000
```

Results
formation energy from raw total energies: -0.67 eV per formula unit
crystal system: tetragonal

=====

Record 2
Here is a relaxed structure of KMg2HgRh from Alexandria via LeMat-Bulk. Energies are from PBE. Values from VASP.

```
&SYSTEM
  ibrav = 0, nat = 5, ntyp = 4
/
ATOMIC_SPECIES
K 39.10 K.upf
Mg 24.30 Mg.upf
Hg 200.59 Hg.upf
Rh 102.91 Rh.upf
CELL_PARAMETERS angstrom
5.0458 0.0000 0.0000
0.0000 5.0458 0.0000
0.0000 0.0000 5.3982
ATOMIC_POSITIONS crystal
K 0.0000 0.0000 0.0000
Mg 0.0000 0.5000 0.5000
Mg 0.5000 0.0000 0.5000
Hg 0.5000 0.5000 0.0000
Rh 0.5000 0.5000 0.5000
```

Results
crystal system: tetragonal
E_form: -0.169 eV per atom

=====

Record 3
Here is a relaxed structure of CrIr2Rh8 from Alexandria via LeMat-Bulk. Energies are from PBE. Values from VASP.

```
&SYSTEM
  ibrav = 0, nat = 11, ntyp = 3
/
ATOMIC_SPECIES
Cr 52.00 Cr.upf
Ir 192.22 Ir.upf
Rh 102.91 Rh.upf
CELL_PARAMETERS angstrom
5.5686 -3.3487 0.0000
5.5686 3.3487 0.0000
-1.0502 0.0000 4.8985
ATOMIC_POSITIONS crystal
Cr 0.0000 0.0000 0.0000
Ir 0.1962 0.1962 0.4405
Ir 0.8038 0.8038 0.5595
Rh 0.1997 0.1997 0.9232
Rh 0.2051 0.5864 0.7972
Rh 0.4054 0.4054 0.2973
Rh 0.4136 0.7949 0.2028
Rh 0.5864 0.2051 0.7972
Rh 0.5946 0.5946 0.7027
Rh 0.7949 0.4136 0.2028
Rh 0.8003 0.8003 0.0768
```

Results
distance to the lowest polymorph of the same formula: 358 meV per atom
crystal system: monoclinic
E_form: 0.566 eV per atom

=====

Record 4
Here is a relaxed structure of Ba3PuO6 from Alexandria via LeMat-Bulk. Energies are from PBE. Values from VASP.

```
&SYSTEM
  ibrav = 0, nat = 20, ntyp = 3
/
ATOMIC_SPECIES
Ba 137.33 Ba.upf
Pu 244.00 Pu.upf
O 16.00 O.upf
CELL_PARAMETERS angstrom
6.5163 0.0000 0.0000
-3.2582 5.6433 0.0000
0.0000 0.0000 10.7964
ATOMIC_POSITIONS crystal
Ba 0.0000 0.0000 0.0000
Ba 0.0000 0.0000 0.5000
Ba 0.3333 0.6667 0.0755
Ba 0.3333 0.6667 0.4245
Ba 0.6667 0.3333 0.5755
Ba 0.6667 0.3333 0.9245
Pu 0.3333 0.6667 0.7500
Pu 0.6667 0.3333 0.2500
O 0.0870 0.4032 0.6318
O 0.0870 0.6838 0.8682
O 0.3162 0.4032 0.8682
O 0.3162 0.9130 0.6318
O 0.4032 0.0870 0.3682
O 0.4032 0.3162 0.1318
O 0.5968 0.6838 0.6318
O 0.5968 0.9130 0.8682
O 0.6838 0.0870 0.1318
O 0.6838 0.5968 0.3682
O 0.9130 0.3162 0.3682
O 0.9130 0.5968 0.1318
```

Results
formation energy from raw total energies: -26.37 eV per formula unit
distance to the lowest polymorph of the same formula: 11 meV per atom
crystal system: hexagonal

=====

Record 5
Here is a relaxed structure of Ho6Cd5Pb from Alexandria via LeMat-Bulk. Energies are from PBE. Values from VASP.

```
&SYSTEM
  ibrav = 0, nat = 12, ntyp = 3
/
ATOMIC_SPECIES
Ho 164.93 Ho.upf
Cd 112.41 Cd.upf
Pb 207.20 Pb.upf
CELL_PARAMETERS angstrom
2.6536 -7.9890 0.0000
2.6536 7.9890 0.0000
0.0000 0.0000 7.4098
ATOMIC_POSITIONS crystal
Ho 0.0000 0.0000 0.2481
Ho 0.0000 0.0000 0.7519
Ho 0.3318 0.6682 0.2458
Ho 0.3318 0.6682 0.7542
Ho 0.6682 0.3318 0.2458
Ho 0.6682 0.3318 0.7542
Cd 0.1653 0.8347 0.0000
Cd 0.1741 0.8259 0.5000
Cd 0.5000 0.5000 0.0000
Cd 0.8259 0.1741 0.5000
Cd 0.8347 0.1653 0.0000
Pb 0.5000 0.5000 0.5000
```

Results
crystal system: orthorhombic
E_form: -0.343 eV per atom

=====

Record 6
Here is a relaxed structure of Tb5GaBi4 from Alexandria via LeMat-Bulk. Energies are from PBE. Values from VASP.

```
&SYSTEM
  ibrav = 0, nat = 10, ntyp = 3
/
ATOMIC_SPECIES
Tb 158.93 Tb.upf
Ga 69.72 Ga.upf
Bi 208.98 Bi.upf
CELL_PARAMETERS angstrom
-4.9626 4.9626 3.1398
4.9626 -4.9626 3.1398
4.9626 4.9626 -3.1398
ATOMIC_POSITIONS crystal
Tb 0.0000 0.0000 0.0000
Tb 0.2085 0.6004 0.8089
Tb 0.3996 0.2085 0.6080
Tb 0.6004 0.7915 0.3920
Tb 0.7915 0.3996 0.1911
Ga 0.5000 0.5000 0.0000
Bi 0.0950 0.3021 0.3971
Bi 0.3021 0.9050 0.2071
Bi 0.6979 0.0950 0.7929
Bi 0.9050 0.6979 0.6029
```

Results
crystal system: tetragonal
E_form: -0.724 eV per atom

=====

Asked for total moment across the records above, the calculation gives 0.0, 0.0, 0.9, 4.0, 0.0, 0.0 μB per cell in order.